VASP calculation (PBE) on crystalline Sr2CaTb at its relaxed geometry.

a = 6.246 Å, b = 6.246 Å, c = 6.246 Å
α = 60.00°, β = 60.00°, γ = 60.00°
Sites, in units of the cell vectors:
Sr1 0.250 0.250 0.250
Sr2 0.750 0.750 0.750
Ca1 0.000 0.000 0.000
Tb1 0.500 0.500 0.500

Excess energy over the best structure of this formula in the dataset   0.09 eV/f.u.
Formation energy   170 meV per atom
Raw total energy   -9.31 eV for the cell shown